No. 1
Density functional theory data (meta-GGA SCAN) for a PBEsol-optimized structure of RbAs2WSe.

Structure (extended XYZ):
```
5
Lattice="-0.327 2.016 -4.464 -2.002 -4.138 -1.723 -4.631 1.768 1.137" Properties=species:S:1:pos:R:3 pbc="T T T"
As -1.001 -2.069 -0.861
As -0.163 1.008 -2.232
Se -2.315 0.884 0.569
Rb -3.480 -0.177 -2.525
W 0.000 0.000 0.000
```

Summary:
total energy: -30.1910 eV per atom
SG: P4/mmm
calculated volume: 122.56 Å³ per cell


No. 2
Density functional theory data (meta-GGA SCAN) for a PBEsol-optimized structure of Rb2Si2As.

Structure (extended XYZ):
```
5
Lattice="4.655 0.000 0.000 0.000 4.655 0.000 -2.327 -2.327 6.825" Properties=species:S:1:pos:R:3 pbc="T T T"
As 0.000 0.000 0.000
Si 0.000 0.000 5.756
Si 2.327 2.327 1.068
Rb 0.000 2.327 3.412
Rb 2.327 0.000 3.412
```

Summary:
total energy: -15.7364 eV per atom
SG: I4/mmm
calculated volume: 147.88 Å³ per cell


No. 3
Density functional theory data (meta-GGA SCAN) for a PBEsol-optimized structure of RbSn3As.

Structure (extended XYZ):
```
5
Lattice="-1.093 2.679 4.716 -0.240 -4.830 2.688 5.419 0.326 1.070" Properties=species:S:1:pos:R:3 pbc="T T T"
As 0.000 0.000 0.000
Sn -0.120 -2.415 1.344
Sn 2.709 0.163 0.535
Sn -0.546 1.339 2.358
Rb 2.043 -0.913 4.237
```

Summary:
SG: Pm-3m
calculated volume: 169.38 Å³ per cell
energy of formation: 0.294 eV/atom


No. 4
Density functional theory data (meta-GGA SCAN) for a PBEsol-optimized structure of RbSn2As2.

Structure (extended XYZ):
```
5
Lattice="-0.289 -4.417 -2.852 4.668 -1.531 1.898 -4.494 0.667 4.283" Properties=species:S:1:pos:R:3 pbc="T T T"
As 1.182 -1.919 2.852
As -1.296 -3.362 0.477
Sn -1.609 -1.611 2.658
Sn 1.494 -3.670 0.671
Rb 0.000 0.000 0.000
```

Summary:
SG: I4/mmm
calculated volume: 138.98 Å³ per cell
energy of formation: -0.195 eV/atom


No. 5
Density functional theory data (meta-GGA SCAN) for a PBEsol-optimized structure of RbTa3As.

Structure (extended XYZ):
```
5
Lattice="-4.188 -0.222 2.517 2.251 -2.542 3.521 1.149 4.173 2.279" Properties=species:S:1:pos:R:3 pbc="T T T"
As 0.000 0.000 0.000
Rb -0.394 0.704 4.158
Ta 1.125 -1.271 1.760
Ta 0.574 2.086 1.139
Ta -2.094 -0.111 1.259
```

Summary:
SG: Pm-3m
calculated volume: 117.01 Å³ per cell
energy of formation: 1.524 eV/atom


No. 6
Density functional theory data (meta-GGA SCAN) for a PBEsol-optimized structure of Rb3TaAs.

Structure (extended XYZ):
```
5
Lattice="6.478 0.000 0.000 0.000 6.478 0.000 0.000 0.000 6.478" Properties=species:S:1:pos:R:3 pbc="T T T"
As 0.000 0.000 0.000
Rb 0.000 3.239 0.000
Rb 0.000 0.000 3.239
Rb 3.239 0.000 0.000
Ta 3.239 3.239 3.239
```

Summary:
SG: Pm-3m
calculated volume: 271.85 Å³ per cell
energy of formation: 1.248 eV/atom


No. 7
Density functional theory data (meta-GGA SCAN) for a PBEsol-optimized structure of Rb5TaTl2As4.

Structure (extended XYZ):
```
48
Lattice="-7.005 -2.258 -2.364 -2.745 -2.296 10.328 -6.511 17.855 2.239" Properties=species:S:1:pos:R:3 pbc="T T T"
Rb -4.570 7.748 3.400
Rb -8.586 7.387 10.597
Rb -8.703 12.057 0.975
Rb -7.676 11.183 11.406
Rb -8.584 2.118 -1.203
Rb -6.592 12.090 7.327
Rb -11.691 5.553 6.803
Rb -3.299 -0.261 5.179
Rb -7.557 1.244 9.228
Rb -7.371 8.403 6.023
Rb -8.889 4.898 4.180
Rb -6.452 -2.735 6.353
Rb -7.674 5.915 -0.394
Rb -6.473 2.151 5.149
Rb -9.808 16.037 3.850
Rb -12.961 13.562 5.023
Rb -4.514 -1.278 9.753
Rb -9.787 11.150 5.054
Rb -11.746 14.579 0.450
Rb -9.668 1.212 2.876
Ta -5.791 1.035 1.583
Ta -10.469 12.266 8.620
Ta -4.792 4.119 8.318
Ta -11.468 9.182 1.885
Tl -4.922 4.325 2.545
Tl -8.336 8.084 2.473
Tl -8.713 14.940 9.681
Tl -7.924 5.217 7.729
Tl -11.338 8.977 7.658
Tl -7.296 13.536 3.962
Tl -7.547 -1.638 0.522
Tl -8.964 -0.235 6.241
As -9.743 8.791 0.130
As -11.702 11.631 2.367
As -7.204 3.104 1.667
As -5.719 0.111 -0.730
As -6.708 10.738 3.496
As -6.728 -0.733 3.067
As -6.517 4.511 10.072
As -9.552 2.564 6.707
As -5.508 5.355 6.276
As -4.558 1.671 7.835
As -10.541 13.190 10.932
As -3.559 1.776 2.341
As -9.056 10.198 8.536
As -12.701 11.526 7.862
As -10.752 7.947 3.927
As -9.532 14.034 7.136
```

Summary:
SG: Pnma
calculated volume: 1616.78 Å³ per cell
energy of formation: -0.553 eV/atom


No. 8
Density functional theory data (meta-GGA SCAN) for a PBEsol-optimized structure of RbTc2As2.

Structure (extended XYZ):
```
5
Lattice="-0.425 1.868 -3.291 -3.703 0.475 0.748 3.612 5.365 4.782" Properties=species:S:1:pos:R:3 pbc="T T T"
As 1.105 4.668 2.507
As -1.622 3.040 -0.268
Tc -1.078 3.506 2.129
Tc 0.561 4.202 0.110
Rb 0.000 0.000 0.000
```

Summary:
SG: I4/mmm
calculated volume: 109.91 Å³ per cell
energy of formation: -0.351 eV/atom


No. 9
Density functional theory data (meta-GGA SCAN) for a PBEsol-optimized structure of RbTcAs3.

Structure (extended XYZ):
```
5
Lattice="-2.247 -0.503 4.774 -0.921 -5.128 -0.974 4.711 -1.243 2.086" Properties=species:S:1:pos:R:3 pbc="T T T"
As -0.461 -2.564 -0.487
As 2.356 -0.621 1.043
As -1.123 -0.252 2.387
Tc 0.772 -3.437 2.943
Rb 0.000 0.000 0.000
```

Summary:
SG: Pm-3m
calculated volume: 148.92 Å³ per cell
energy of formation: 2.402 eV/atom


No. 10
Density functional theory data (meta-GGA SCAN) for a PBEsol-optimized structure of RbTi2As2.

Structure (extended XYZ):
```
5
Lattice="4.247 0.000 0.000 0.000 4.247 0.000 -2.123 -2.123 6.992" Properties=species:S:1:pos:R:3 pbc="T T T"
As 0.000 0.000 4.855
As 2.123 2.123 2.136
Rb 0.000 0.000 0.000
Ti 0.000 2.123 3.496
Ti 2.123 0.000 3.496
```

Summary:
SG: I4/mmm
calculated volume: 126.10 Å³ per cell
energy of formation: -0.783 eV/atom


No. 11
Density functional theory data (meta-GGA SCAN) for a PBEsol-optimized structure of RbTl2As2.

Structure (extended XYZ):
```
5
Lattice="-4.300 -1.042 -2.306 2.348 -3.338 -2.870 -0.146 -2.043 6.594" Properties=species:S:1:pos:R:3 pbc="T T T"
Tl 0.613 -3.786 0.567
Tl -2.711 -2.637 0.850
As -0.891 -3.359 3.178
As -1.208 -3.064 -1.761
Rb 0.000 0.000 0.000
```

Summary:
SG: I4/mmm
calculated volume: 147.75 Å³ per cell
energy of formation: -0.219 eV/atom


No. 12
Density functional theory data (meta-GGA SCAN) for a PBEsol-optimized structure of RbY3As.

Structure (extended XYZ):
```
5
Lattice="5.582 0.000 0.000 0.000 5.582 0.000 0.000 0.000 5.582" Properties=species:S:1:pos:R:3 pbc="T T T"
Y 0.000 2.791 0.000
Y 0.000 0.000 2.791
Y 2.791 0.000 0.000
As 0.000 0.000 0.000
Rb 2.791 2.791 2.791
```

Summary:
SG: Pm-3m
calculated volume: 173.96 Å³ per cell
energy of formation: -0.123 eV/atom


Question: Which of these has the lowest calculated volume?
Answer: RbTc2As2